Entry 1:
The following is a PBE-GGA calculation of crystalline La6Tb2DyTm at its relaxed geometry, from Alexandria via LeMat-Bulk.

Geometry as POSCAR:
```
La6Tb2DyTm
1.0
8.976 -1.740 -1.806
1.023 8.806 -1.783
1.023 -2.108 8.734
La Tb Tm Dy
12 4 2 2
Direct
0.318 0.018 0.455 La
0.818 0.455 0.018 La
0.894 0.291 0.555 La
0.919 0.918 0.231 La
0.606 0.445 0.709 La
0.581 0.769 0.082 La
0.182 0.545 0.982 La
0.419 0.231 0.918 La
0.106 0.709 0.445 La
0.682 0.982 0.545 La
0.081 0.082 0.769 La
0.394 0.555 0.291 La
0.436 0.796 0.709 Tb
0.064 0.291 0.204 Tb
0.564 0.204 0.291 Tb
0.936 0.709 0.796 Tb
0.750 0.580 0.420 Tm
0.250 0.420 0.580 Tm
0.750 0.056 0.944 Dy
0.250 0.944 0.056 Dy
```

Results
Space-group type = No. 15
Magnetization = 0.000 μB per cell
DFT total energy = -4.67 eV/atom

Entry 2:
The following is a PBE-GGA calculation of crystalline LaTb3DyTm at its relaxed geometry, from Alexandria via LeMat-Bulk.

Geometry as POSCAR:
```
LaTb3DyTm
1.0
-4.981 -2.109 -1.643
6.632 -7.986 -0.128
-1.611 -1.413 6.694
La Tb Tm Dy
2 6 2 2
Direct
0.643 0.285 0.025 La
0.357 0.715 0.975 La
0.162 0.324 0.723 Tb
0.221 0.442 0.240 Tb
0.838 0.676 0.277 Tb
0.779 0.558 0.760 Tb
0.478 0.955 0.269 Tb
0.522 0.045 0.731 Tb
0.056 0.113 0.287 Tm
0.944 0.887 0.713 Tm
0.650 0.299 0.457 Dy
0.350 0.701 0.543 Dy
```

Results
Space-group type = No. 12
Magnetization = 0.000 μB per cell
DFT total energy = -4.43 eV/atom

Look up the DFT total energy of the first one.
-4.67 eV/atom